# PBE Te2PAuN, optimized geometry
data_Te2PAuN
_cell_length_a 5.634
_cell_length_b 5.634
_cell_length_c 3.215
_cell_angle_alpha 90.00
_cell_angle_beta 90.00
_cell_angle_gamma 90.00
_space_group_name_H-M_alt 'P 4/m m m'
_space_group_IT_number 123
_space_group_name_Hall '-P 4 2'
loop_
_atom_site_label
_atom_site_type_symbol
_atom_site_fract_x
_atom_site_fract_y
_atom_site_fract_z
Te1 Te 0.000 0.500 0.000
P1 P 0.000 0.000 0.000
Au1 Au 0.500 0.500 0.500
N1 N 0.000 0.000 0.500
# Energy relative to the lowest polymorph listed for this composition in meV/atom: 0
# Uncorrected formation energy in eV/f.u.: 2.65
# Volume in Å³/atom: 20.41
# Raw total energy in eV per atom: -4.130

# PBE TePAuN2, optimized geometry
data_TePAuN2
_cell_length_a 3.919
_cell_length_b 3.919
_cell_length_c 8.460
_cell_angle_alpha 90.00
_cell_angle_beta 90.00
_cell_angle_gamma 90.00
_space_group_name_H-M_alt 'P 4/m m m'
_space_group_IT_number 123
_space_group_name_Hall '-P 4 2'
loop_
_atom_site_label
_atom_site_type_symbol
_atom_site_fract_x
_atom_site_fract_y
_atom_site_fract_z
Te1 Te 0.000 0.000 0.000
P1 P 0.500 0.500 0.000
Au1 Au 0.000 0.000 0.500
N1 N 0.000 0.500 0.500
# Energy relative to the lowest polymorph listed for this composition in meV/atom: 674
# Uncorrected formation energy in eV/f.u.: 8.80
# Volume in Å³/atom: 25.98
# Raw total energy in eV per atom: -3.935